Crystalline Cs2TiCrS4 at its relaxed geometry. Source: Alexandria, functional PBE.

a b c (Å): 14.2590 12.6433 7.8054
angles (deg): 84.93 62.03 33.04
Element x y z (fractional)
Cs 0.0507 0.0507 0.6993
Cs 0.3007 0.3007 0.9493
Cs 0.6993 0.6993 0.0507
Cs 0.9493 0.9493 0.3007
Ti 0.3750 0.3750 0.3750
Ti 0.6250 0.6250 0.6250
Cr 0.1250 0.1250 0.1250
Cr 0.8750 0.8750 0.8750
S 0.0118 0.3331 0.4237
S 0.2687 0.5763 0.6669
S 0.3331 0.0118 0.7313
S 0.4237 0.7313 0.0118
S 0.5763 0.2687 0.9882
S 0.6669 0.9882 0.2687
S 0.7313 0.4237 0.3331
S 0.9882 0.6669 0.5763

Values from the calculation:
E	-90.3	eV per cell

Crystalline Sm3YBi3 at its relaxed geometry. Source: Alexandria, functional PBE.

a b c (Å): 8.3217 8.3217 8.3217
angles (deg): 67.62 67.62 67.62
Element x y z (fractional)
Sm 0.0866 0.3413 0.8238
Sm 0.1762 0.9134 0.6587
Sm 0.3413 0.8238 0.0866
Sm 0.6587 0.1762 0.9134
Sm 0.8238 0.0866 0.3413
Sm 0.9134 0.6587 0.1762
Y 0.3330 0.3330 0.3330
Y 0.6670 0.6670 0.6670
Bi 0.0793 0.6932 0.4737
Bi 0.3068 0.5263 0.9207
Bi 0.4737 0.0793 0.6932
Bi 0.5263 0.9207 0.3068
Bi 0.6932 0.4737 0.0793
Bi 0.9207 0.3068 0.5263

Values from the calculation:
calculated formation energy	-710	meV per atom
E	-74.5	eV per cell
polymorph energy (0 for the lowest one)	85	meV per atom

Crystalline Sr6H2Au at its relaxed geometry. Source: Alexandria, functional PBE.

a b c (Å): 7.5151 7.4548 13.5660
angles (deg): 90.00 119.44 90.00
Element x y z (fractional)
Sr 0.0435 0.1520 0.4090
Sr 0.0435 0.3480 0.9090
Sr 0.2552 0.6631 0.4302
Sr 0.2552 0.8369 0.9302
Sr 0.3567 0.1720 0.2367
Sr 0.3567 0.3280 0.7367
Sr 0.6433 0.6720 0.2633
Sr 0.6433 0.8280 0.7633
Sr 0.7448 0.1631 0.0698
Sr 0.7448 0.3369 0.5698
Sr 0.9565 0.6520 0.0910
Sr 0.9565 0.8480 0.5910
H 0.0424 0.1702 0.5873
H 0.0424 0.3298 0.0873
H 0.9576 0.6702 0.9127
H 0.9576 0.8298 0.4127
Au 0.5000 0.0000 0.5000
Au 0.5000 0.5000 0.0000

Values from the calculation:
E	-45.4	eV per cell

Crystalline LaPm4Er7 at its relaxed geometry. Source: Alexandria, functional PBE.

a b c (Å): 6.7964 7.0253 8.7511
angles (deg): 78.80 77.61 76.51
Element x y z (fractional)
La 0.0000 0.0000 0.0000
Pm 0.1854 0.6030 0.3338
Pm 0.3471 0.2313 0.6826
Pm 0.6529 0.7687 0.3174
Pm 0.8146 0.3970 0.6662
Er 0.0000 0.5000 0.0000
Er 0.1801 0.1061 0.3633
Er 0.3253 0.7351 0.6697
Er 0.4819 0.2524 0.0238
Er 0.5181 0.7476 0.9762
Er 0.6747 0.2649 0.3303
Er 0.8199 0.8939 0.6367

Values from the calculation:
calculated formation energy	76	meV per atom
E	-55.0	eV per cell
polymorph energy (0 for the lowest one)	0	meV per atom

Crystalline ErBiIr4 at its relaxed geometry. Source: Alexandria, functional PBE.

a b c (Å): 5.3759 5.3759 5.3759
angles (deg): 60.00 60.00 60.00
Element x y z (fractional)
Er 0.0000 0.0000 0.0000
Bi 0.7500 0.7500 0.7500
Ir 0.3751 0.3751 0.3751
Ir 0.3751 0.3751 0.8747
Ir 0.3751 0.8747 0.3751
Ir 0.8747 0.3751 0.3751

Values from the calculation:
calculated formation energy	-275	meV per atom
E	-45.5	eV per cell

Crystalline TiIn2Mo at its relaxed geometry. Source: Alexandria, functional PBE.

a b c (Å): 4.7174 4.7174 4.7174
angles (deg): 60.00 60.00 60.00
Element x y z (fractional)
Ti 0.0000 0.0000 0.0000
In 0.2500 0.2500 0.2500
In 0.7500 0.7500 0.7500
Mo 0.5000 0.5000 0.5000

Values from the calculation:
calculated formation energy	251	meV per atom
E	-23.2	eV per cell
polymorph energy (0 for the lowest one)	0	meV per atom

Crystalline PuMnCoGe at its relaxed geometry. Source: Alexandria, functional PBE.

a b c (Å): 4.4186 4.4186 4.4186
angles (deg): 60.00 60.00 60.00
Element x y z (fractional)
Pu 0.0000 0.0000 0.0000
Mn 0.2500 0.2500 0.2500
Co 0.7500 0.7500 0.7500
Ge 0.5000 0.5000 0.5000

Values from the calculation:
calculated formation energy	-132	meV per atom
E	-35.8	eV per cell